1.
Compound: AlGaNi6
Source: the Alexandria database
Functional: PBE-GGA
Structure: optimized geometry

Structure (POSCAR):
```
AlGaNi6
1.0
6.191 0.014 0.000
-2.064 5.837 0.000
0.000 0.000 10.099
Ni Ga Al
24 4 4
Cartesian
0.003 2.191 3.780
0.000 0.000 5.049
4.119 1.475 2.514
2.061 5.117 1.256
4.129 3.658 1.256
2.066 0.734 8.842
0.000 0.000 0.000
2.064 5.112 6.318
4.129 3.658 8.842
2.063 0.738 3.780
-0.002 2.192 1.256
4.119 1.475 7.584
2.063 0.738 6.318
-0.002 2.192 8.842
4.123 3.660 6.318
0.003 2.191 6.318
2.063 2.925 5.049
2.063 2.925 0.000
2.064 5.112 3.780
0.008 4.375 2.514
4.123 3.660 3.780
2.066 0.734 1.256
0.008 4.375 7.584
2.061 5.117 8.842
0.000 0.000 2.521
0.000 0.000 7.578
0.007 4.376 5.049
4.119 1.475 5.049
2.063 2.925 7.581
2.063 2.925 2.517
0.011 4.373 0.000
4.116 1.477 0.000
```

Summary:
Crystal system   orthorhombic
SG   Cmmm
Density of states at the Fermi level   0.97 states/eV per atom
Total energy   -5.542 eV per atom
Energy relative to the elements   -0.359 eV/atom

2.
Compound: Ce2GeS5
Source: the Alexandria database
Functional: PBE-GGA
Structure: optimized geometry

Structure (POSCAR):
```
Ce2GeS5
1.0
-1.553 -3.659 0.088
6.885 -2.939 -0.654
0.974 -0.150 10.922
S Ce Ge
10 4 2
Cartesian
1.812 -0.561 8.614
0.487 -0.075 5.461
0.573 -2.386 0.710
5.161 -2.016 7.244
6.046 -2.527 1.653
5.732 -4.361 9.646
2.697 -1.072 3.023
1.943 -2.838 6.086
4.362 -3.909 4.269
3.442 -1.469 -0.327
6.295 -4.669 6.769
3.005 -3.223 8.810
0.010 -2.078 3.587
3.300 -3.524 1.546
3.929 -1.544 5.134
0.000 0.000 0.000
```

Summary:
Crystal system   orthorhombic
Uncorrected formation energy   -1379 meV/atom
SG   Pbam
Offset from the most stable computed form   0 meV/atom
Density of states at the Fermi level   1.00 states/eV per atom
Total energy   -6.019 eV per atom

3.
Compound: Ac4SeI5
Source: the Alexandria database
Functional: PBE-GGA
Structure: optimized geometry

Structure (POSCAR):
```
Ac4SeI5
1.0
4.238 0.000 -0.923
-0.557 9.398 -2.557
0.101 -0.259 10.655
I Se Ac
5 1 4
Cartesian
3.256 6.009 4.760
3.459 1.572 5.694
0.526 3.131 2.415
1.841 4.699 -1.740
0.323 7.568 1.482
2.119 0.000 -0.461
1.030 8.548 4.729
-0.414 7.349 -1.899
4.196 1.791 9.075
2.752 0.591 2.447
```

Summary:
Crystal system   monoclinic
Uncorrected formation energy   -1388 meV/atom
SG   C2/m
Density of states at the Fermi level   0.33 states/eV per atom
Total energy   -4.155 eV per atom

4.
Compound: La2CeDy3Se6
Source: the Alexandria database
Functional: PBE-GGA
Structure: optimized geometry

Structure (POSCAR):
```
La2CeDy3Se6
1.0
-4.134 0.053 -0.021
-0.109 -8.447 0.124
2.054 2.386 8.833
Dy Ce Se La
3 1 6 2
Cartesian
-2.122 -4.197 0.052
-0.096 -6.245 3.060
-2.094 0.237 5.876
-2.067 0.027 -0.010
-0.110 -6.242 5.953
-0.053 -1.800 5.997
-0.081 -6.259 0.181
-2.137 -4.207 2.938
-2.108 0.252 8.755
-2.080 0.234 2.982
-0.041 -2.003 2.960
-2.149 -4.005 5.976
```

Summary:
Crystal system   monoclinic
Uncorrected formation energy   -1851 meV/atom
SG   C2/m
Density of states at the Fermi level   0.93 states/eV per atom
Total energy   -6.060 eV per atom

5.
Compound: Li2HfPbI
Source: the Alexandria database
Functional: PBE-GGA
Structure: optimized geometry

Structure (POSCAR):
```
Li2HfPbI
1.0
-0.308 -3.329 3.359
-3.306 -3.523 -3.795
3.983 -1.998 -1.614
Hf Li I Pb
1 2 1 1
Cartesian
-1.653 -1.762 -1.898
1.991 -0.999 -0.807
-0.154 -1.664 1.680
0.000 0.000 0.000
0.184 -4.425 -1.025
```

Summary:
Crystal system   tetragonal
Uncorrected formation energy   264 meV/atom
SG   P4/mmm
Density of states at the Fermi level   0.78 states/eV per atom
Total energy   -3.544 eV per atom

6.
Compound: MgZnAs
Source: the Alexandria database
Functional: PBE-GGA
Structure: optimized geometry

Structure (POSCAR):
```
MgZnAs
1.0
6.394 0.058 0.000
4.891 4.119 0.000
-5.642 -2.088 2.165
As Mg Zn
1 1 1
Cartesian
11.269 4.171 0.000
3.772 1.396 0.000
7.528 2.786 0.000
```

Summary:
Crystal system   tetragonal
SG   I4mm
Density of states at the Fermi level   0.35 states/eV per atom
Total energy   -2.511 eV per atom
Energy relative to the elements   -0.005 eV/atom

7.
Compound: Tm2MnRu
Source: the Alexandria database
Functional: PBE-GGA
Structure: optimized geometry

Structure (POSCAR):
```
Tm2MnRu
1.0
3.392 0.000 0.000
0.000 3.392 0.000
0.000 0.000 6.989
Tm Ru Mn
2 1 1
Cartesian
0.000 0.000 5.352
0.000 0.000 1.637
1.696 1.696 0.000
1.696 1.696 3.494
```

Summary:
Crystal system   tetragonal
SG   P4/mmm
Density of states at the Fermi level   0.68 states/eV per atom
Total energy   -7.025 eV per atom
Energy relative to the elements   -0.178 eV/atom

8.
Compound: TmAu2
Source: the Alexandria database
Functional: PBE-GGA
Structure: optimized geometry

Structure (POSCAR):
```
TmAu2
1.0
-3.279 -4.242 1.726
1.269 -2.801 4.720
-3.212 0.610 4.587
Au Tm
4 2
Cartesian
-3.264 -4.021 6.895
-1.624 -1.900 6.032
-1.658 -4.326 4.602
-3.899 -2.621 4.536
0.000 0.000 0.000
-1.306 -1.608 2.758
```

Summary:
Crystal system   cubic
SG   Fd-3m
Density of states at the Fermi level   0.85 states/eV per atom
Total energy   -4.199 eV per atom
Energy relative to the elements   -0.524 eV/atom

9.
Compound: Zn2RuCl
Source: the Alexandria database
Functional: PBE-GGA
Structure: optimized geometry

Structure (POSCAR):
```
Zn2RuCl
1.0
-2.580 1.378 0.405
0.652 -1.541 -2.432
-3.596 -7.922 4.056
Ru Cl Zn
1 1 2
Cartesian
-3.662 -6.026 2.030
-1.995 -4.395 2.251
-3.516 -7.744 3.965
-1.745 -1.802 -0.133
```

Summary:
Crystal system   orthorhombic
Uncorrected formation energy   253 meV/atom
SG   Cmm2
Offset from the most stable computed form   322 meV/atom
Density of states at the Fermi level   0.62 states/eV per atom
Total energy   -3.164 eV per atom

10.
Compound: PaFeBOs2
Source: the Alexandria database
Functional: PBE-GGA
Structure: optimized geometry

Structure (POSCAR):
```
PaFeBOs2
1.0
-1.285 -0.991 3.735
3.085 -2.834 0.309
2.524 2.928 1.645
Pa Os B Fe
1 2 1 1
Cartesian
2.162 -0.449 2.845
1.262 1.464 0.823
1.543 -1.417 0.155
0.000 0.000 0.000
-0.643 -0.496 1.868
```

Summary:
Crystal system   tetragonal
SG   P4/mmm
Density of states at the Fermi level   0.38 states/eV per atom
Total energy   -9.770 eV per atom
Energy relative to the elements   -0.351 eV/atom

11.
Compound: DyThFe
Source: the Alexandria database
Functional: PBE-GGA
Structure: optimized geometry

Structure (POSCAR):
```
DyThFe
1.0
6.130 0.000 0.000
0.000 3.860 0.000
0.000 -1.930 3.343
Fe Dy Th
1 1 1
Cartesian
2.140 0.000 2.229
0.522 0.000 0.000
3.468 1.930 1.114
```

Summary:
Crystal system   trigonal
SG   P3m1
Offset from the most stable computed form   9 meV/atom
Density of states at the Fermi level   1.21 states/eV per atom
Total energy   -6.740 eV per atom
Energy relative to the elements   0.088 eV/atom

12.
Compound: Tb8Pm5Cd
Source: the Alexandria database
Functional: PBE-GGA
Structure: optimized geometry

Structure (POSCAR):
```
Tb8Pm5Cd
1.0
-2.884 4.541 6.527
-4.559 1.593 -6.944
-0.591 -8.170 2.106
Tb Cd Pm
8 1 5
Cartesian
-4.249 -3.882 3.498
-3.502 0.975 3.717
-2.499 -1.650 1.248
-3.893 -2.345 -3.614
-4.423 1.178 -0.223
-3.561 -0.978 6.765
-6.174 -2.837 -0.846
-3.832 1.392 -3.788
-3.443 -4.196 -0.261
-1.921 -6.517 3.191
-5.932 -0.974 2.057
-1.737 -1.815 4.317
-1.545 -0.482 -1.749
-6.669 3.899 -0.119
```

Summary:
Crystal system   tetragonal
SG   I-4
Density of states at the Fermi level   1.21 states/eV per atom
Total energy   -4.214 eV per atom
Energy relative to the elements   0.194 eV/atom

13.
Compound: CeHfPa2
Source: the Alexandria database
Functional: PBE-GGA
Structure: optimized geometry

Structure (POSCAR):
```
CeHfPa2
1.0
3.232 0.000 0.000
1.616 2.799 0.000
1.616 0.933 10.882
Pa Ce Hf
2 1 1
Cartesian
1.616 0.933 2.776
1.616 0.933 8.102
4.847 2.799 10.869
3.232 1.866 5.457
```

Summary:
Crystal system   trigonal
SG   R3m
Offset from the most stable computed form   0 meV/atom
Density of states at the Fermi level   1.86 states/eV per atom
Total energy   -8.660 eV per atom
Energy relative to the elements   0.060 eV/atom

14.
Compound: CoReOs2
Source: the Alexandria database
Functional: PBE-GGA
Structure: optimized geometry

Structure (POSCAR):
```
CoReOs2
1.0
-2.402 2.176 -1.914
-2.405 -0.068 2.941
1.666 3.099 1.433
Os Co Re
2 1 1
Cartesian
-0.369 1.516 2.187
0.000 0.000 0.000
-0.368 2.638 -0.240
-2.403 1.054 0.514
```

Summary:
Crystal system   tetragonal
SG   P4/mmm
Offset from the most stable computed form   3 meV/atom
Density of states at the Fermi level   1.04 states/eV per atom
Total energy   -10.411 eV per atom
Energy relative to the elements   0.092 eV/atom

15.
Compound: PmTiOs
Source: the Alexandria database
Functional: PBE-GGA
Structure: optimized geometry

Structure (POSCAR):
```
PmTiOs
1.0
-3.385 -0.352 4.730
-3.531 -3.803 -6.399
2.628 -4.981 1.510
Os Ti Pm
4 4 4
Cartesian
-5.834 -3.330 -0.833
-2.827 -5.645 -2.443
1.546 -5.805 0.675
-1.461 -3.491 2.284
-3.720 -5.136 -4.839
-5.413 -5.312 -2.474
-0.568 -4.000 4.680
1.125 -3.824 2.315
-0.471 -3.850 -0.623
-3.817 -5.286 0.465
-3.477 -1.535 0.987
-0.811 -7.600 -1.145
```

Summary:
Crystal system   tetragonal
SG   I4/mmm
Density of states at the Fermi level   0.99 states/eV per atom
Total energy   -8.176 eV per atom
Energy relative to the elements   -0.218 eV/atom

16.
Compound: ScTiCu
Source: the Alexandria database
Functional: PBE-GGA
Structure: optimized geometry

Structure (POSCAR):
```
ScTiCu
1.0
3.584 -2.069 0.000
0.000 4.138 0.000
0.000 0.000 10.113
Ti Sc Cu
2 2 2
Cartesian
0.000 0.000 5.056
0.000 0.000 0.000
0.000 0.000 7.585
0.000 0.000 2.528
1.195 2.069 2.528
2.389 0.000 7.585
```

Summary:
Crystal system   hexagonal
SG   P6_3/mmc
Offset from the most stable computed form   1501 meV/atom
Density of states at the Fermi level   1.12 states/eV per atom
Total energy   -4.690 eV per atom
Energy relative to the elements   1.417 eV/atom

17.
Compound: SrZn2Cr
Source: the Alexandria database
Functional: PBE-GGA
Structure: optimized geometry

Structure (POSCAR):
```
SrZn2Cr
1.0
-2.826 4.796 -0.787
-4.260 -0.816 -3.577
1.941 -1.795 4.962
Zn Sr Cr
2 1 1
Cartesian
-2.299 2.543 0.944
-6.793 3.815 -4.182
-2.871 -0.344 -0.361
-3.813 2.142 -2.348
```

Summary:
Crystal system   orthorhombic
SG   Imm2
Density of states at the Fermi level   0.54 states/eV per atom
Total energy   -3.131 eV per atom
Energy relative to the elements   0.332 eV/atom

18.
Compound: LaSiAg2
Source: the Alexandria database
Functional: PBE-GGA
Structure: optimized geometry

Structure (POSCAR):
```
LaSiAg2
1.0
-2.792 -3.737 -1.246
2.096 -0.116 -4.348
5.670 -7.440 0.251
Ag Si La
4 2 2
Cartesian
2.010 -2.893 -2.975
0.303 -3.717 -1.095
4.268 -7.040 -2.483
3.366 -8.936 -4.133
3.709 -4.742 -3.447
-0.348 -1.926 -2.797
1.265 -6.552 -1.896
0.000 0.000 0.000
```

Summary:
Crystal system   tetragonal
Uncorrected formation energy   -52 meV/atom
SG   I-42d
Density of states at the Fermi level   0.84 states/eV per atom
Total energy   -4.065 eV per atom

19.
Compound: MnTeCN2
Source: the Alexandria database
Functional: PBE-GGA
Structure: optimized geometry

Structure (POSCAR):
```
MnTeCN2
1.0
3.497 0.000 0.000
0.000 3.497 0.000
0.000 0.000 5.644
Mn N C Te
1 2 1 1
Cartesian
0.000 0.000 0.000
0.000 1.748 0.000
1.748 0.000 0.000
1.748 1.748 2.822
0.000 0.000 2.822
```

Summary:
Crystal system   tetragonal
Uncorrected formation energy   1389 meV/atom
SG   P4/mmm
Offset from the most stable computed form   0 meV/atom
Density of states at the Fermi level   0.46 states/eV per atom
Total energy   -6.249 eV per atom

20.
Compound: SrRuSN2
Source: the Alexandria database
Functional: PBE-GGA
Structure: optimized geometry

Structure (POSCAR):
```
SrRuSN2
1.0
-1.286 4.310 1.309
-2.020 0.664 -4.173
-4.974 -2.113 2.072
Sr Ru S N
1 1 1 2
Cartesian
0.000 0.000 0.000
-4.140 1.430 -0.396
-2.487 -1.057 1.036
-0.643 2.155 0.654
-1.010 0.332 -2.087
```

Summary:
Crystal system   tetragonal
Uncorrected formation energy   2146 meV/atom
SG   P4/mmm
Offset from the most stable computed form   2254 meV/atom
Density of states at the Fermi level   1.26 states/eV per atom
Total energy   -4.201 eV per atom